Crystalline Ni2SnB2O6 at its relaxed geometry, computed with PBE+U.

Geometry as POSCAR:
```
Ni2SnB2O6
1.0
5.1266 0.0000 0.0000
-2.5633 4.4398 0.0000
0.0000 0.0000 6.2383
Ni Sn B O
2 1 2 6
Direct
0.3333 0.6667 0.3379
0.6667 0.3333 0.6621
0.0000 0.0000 0.0000
0.3333 0.6667 0.7492
0.6667 0.3333 0.2508
0.0554 0.6508 0.7468
0.3492 0.4047 0.7468
0.4047 0.0554 0.2532
0.5953 0.9446 0.7468
0.6508 0.5953 0.2532
0.9446 0.3492 0.2532
```

Properties
- VASP energy (eV per cell) = -69.28
- total magnetic moment (μB/cell) = 4.0
- symmetry = No. 147